[1]
A plane-wave DFT calculation with GGA+U was carried out for crystalline NpMnSnO6 at its relaxed geometry.

Results
Calculated total energy = -8.064 eV/atom
Crystal system = trigonal

abc: 5.445 5.445 9.399
angles: 90.00 90.00 120.00
Sites, in units of the cell vectors:
Np 0.333 0.667 0.250
Np 0.667 0.333 0.750
Mn 0.000 0.000 0.000
Mn 0.000 0.000 0.500
Sn 0.333 0.667 0.750
Sn 0.667 0.333 0.250
O 0.002 0.345 0.132
O 0.002 0.657 0.368
O 0.343 0.345 0.368
O 0.343 0.998 0.132
O 0.345 0.002 0.632
O 0.345 0.343 0.868
O 0.655 0.657 0.132
O 0.655 0.998 0.368
O 0.657 0.002 0.868
O 0.657 0.655 0.632
O 0.998 0.343 0.632
O 0.998 0.655 0.868


[2]
A plane-wave DFT calculation with GGA+U was carried out for crystalline NpMn2SnO6 at its relaxed geometry.

Results
Calculated total energy = -7.909 eV/atom
Crystal system = triclinic

abc: 5.482 5.492 5.852
angles: 62.23 62.10 60.06
Sites, in units of the cell vectors:
Np 0.000 0.000 0.000
Mn 0.203 0.203 0.395
Mn 0.720 0.719 0.842
Sn 0.510 0.508 0.476
O 0.125 0.404 0.677
O 0.308 0.904 0.198
O 0.407 0.792 0.679
O 0.588 0.308 0.198
O 0.796 0.123 0.678
O 0.907 0.586 0.197


[3]
A plane-wave DFT calculation with GGA+U was carried out for crystalline SrNpMnO5 at its relaxed geometry.

Results
Calculated total energy = -8.505 eV/atom
Crystal system = monoclinic

abc: 6.117 6.117 8.142
angles: 105.78 105.78 105.78
Sites, in units of the cell vectors:
Sr 0.072 0.928 0.750
Sr 0.928 0.072 0.250
Np 0.000 0.500 0.000
Np 0.500 0.000 0.500
Mn 0.442 0.558 0.750
Mn 0.558 0.442 0.250
O 0.186 0.814 0.250
O 0.197 0.292 0.085
O 0.241 0.653 0.900
O 0.292 0.197 0.585
O 0.347 0.759 0.600
O 0.653 0.241 0.400
O 0.708 0.803 0.415
O 0.759 0.347 0.100
O 0.803 0.708 0.915
O 0.814 0.186 0.750


[4]
A plane-wave DFT calculation with GGA+U was carried out for crystalline TbNpMnO6 at its relaxed geometry.

Results
Calculated total energy = -8.649 eV/atom
Crystal system = trigonal

abc: 5.736 5.736 8.934
angles: 90.00 90.00 120.00
Sites, in units of the cell vectors:
Tb 0.333 0.667 0.250
Tb 0.667 0.333 0.750
Np 0.333 0.667 0.750
Np 0.667 0.333 0.250
Mn 0.000 0.000 0.000
Mn 0.000 0.000 0.500
O 0.033 0.362 0.631
O 0.033 0.671 0.869
O 0.329 0.362 0.869
O 0.329 0.967 0.631
O 0.362 0.033 0.131
O 0.362 0.329 0.369
O 0.638 0.671 0.631
O 0.638 0.967 0.869
O 0.671 0.033 0.369
O 0.671 0.638 0.131
O 0.967 0.329 0.131
O 0.967 0.638 0.369


[5]
A plane-wave DFT calculation with GGA+U was carried out for crystalline Tb2NpMnO8 at its relaxed geometry.

Results
Calculated total energy = -8.520 eV/atom
Crystal system = triclinic

abc: 4.994 5.000 6.985
angles: 86.10 86.21 85.71
Sites, in units of the cell vectors:
Tb 0.035 0.034 0.233
Tb 0.965 0.966 0.767
Np 0.500 0.500 0.500
Mn 0.500 0.500 0.000
O 0.204 0.791 0.501
O 0.214 0.784 0.000
O 0.298 0.292 0.691
O 0.343 0.342 0.244
O 0.657 0.658 0.756
O 0.702 0.708 0.309
O 0.786 0.216 0.000
O 0.796 0.209 0.499


[6]
A plane-wave DFT calculation with GGA+U was carried out for crystalline NpMn2TcO6 at its relaxed geometry.

Results
Calculated total energy = -8.714 eV/atom
Crystal system = trigonal

abc: 5.832 5.832 5.832
angles: 55.86 55.86 55.86
Sites, in units of the cell vectors:
Np 0.000 0.000 0.000
Mn 0.210 0.210 0.210
Mn 0.713 0.713 0.713
Tc 0.503 0.503 0.503
O 0.127 0.768 0.392
O 0.290 0.607 0.877
O 0.392 0.127 0.768
O 0.607 0.877 0.290
O 0.768 0.392 0.127
O 0.877 0.290 0.607